Entry 1:
{
  "formula": "Te2IBrCl",
  "functional": "GGA-PBE",
  "state": "optimized geometry",
  "energy_ev_per_atom": -1.549,
  "e_above_lowest_polymorph_ev_per_atom": 0.000,
  "vol_a3_per_atom": 34.6,
  "formation_energy_uncorrected_kj_per_mol_atoms": 69.66,
  "cell": [[5.568, 0.000, 0.000], [0.000, 5.568, 0.000], [0.000, 0.000, 5.583]],
  "species": ["Te", "Te", "Br", "I", "Cl"],
  "frac_coords": [[0.000, 0.500, 0.000], [0.500, 0.000, 0.000], [0.500, 0.500, 0.500], [0.000, 0.000, 0.500], [0.000, 0.000, 0.000]]
}

---

Entry 2:
{
  "formula": "K2TeS3",
  "functional": "GGA-PBE",
  "state": "optimized geometry",
  "energy_ev_per_atom": -3.639,
  "e_above_lowest_polymorph_ev_per_atom": 0.066,
  "vol_a3_per_atom": 29.6,
  "formation_energy_uncorrected_kj_per_mol_atoms": -66.16,
  "cell": [[-5.552, 2.583, 2.254], [-3.918, -6.689, -1.984], [5.052, -2.201, 5.520]],
  "species": ["Te", "Te", "S", "S", "S", "S", "S", "S", "K", "K", "K", "K"],
  "frac_coords": [[0.040, 0.250, 0.000], [0.960, 0.750, 0.000], [0.865, 0.932, 0.728], [0.137, 0.568, 0.272], [0.400, 0.250, 0.000], [0.135, 0.068, 0.272], [0.600, 0.750, 0.000], [0.863, 0.432, 0.728], [0.672, 0.086, 0.346], [0.326, 0.414, 0.654], [0.328, 0.914, 0.654], [0.674, 0.586, 0.346]]
}

---

Entry 3:
{
  "formula": "BaLa3Ir",
  "functional": "GGA-PBE",
  "state": "optimized geometry",
  "energy_ev_per_atom": -5.410,
  "delta_e_f_mev_per_atom": -297,
  "e_above_lowest_polymorph_ev_per_atom": 0.023,
  "vol_a3_per_atom": 39.3,
  "cell": [[8.205, -0.001, 0.000], [-4.102, 6.736, 0.014], [4.103, -0.160, 7.112]],
  "species": ["La", "La", "La", "La", "La", "La", "Ir", "Ir", "Ba", "Ba"],
  "frac_coords": [[0.209, 0.737, 0.203], [0.628, 0.241, 0.883], [0.126, 0.241, 0.883], [0.145, 0.255, 0.359], [0.720, 0.737, 0.203], [0.209, 0.730, 0.708], [0.172, 0.992, 0.043], [0.930, 0.496, 0.031], [0.724, 0.751, 0.697], [0.611, 0.214, 0.386]]
}